## A
The following is a PBE-GGA calculation of crystalline CeDy2Cd at its relaxed geometry, from Alexandria via LeMat-Bulk.

```
CeDy2Cd
1.0
-1.585 -0.316 -3.155
3.083 -0.977 -1.451
-1.861 -8.530 1.789
Cd Ce Dy
1 1 2
Cartesian
0.749 -0.646 -2.303
-0.181 -4.911 -1.409
-1.426 -6.537 1.371
-0.435 -1.993 0.418
```

Values from the calculation:
Its space group is No. 123. Its total magnetization is 0.38 μB/cell.

=====

## B
The following is a PBE-GGA calculation of crystalline CeDy2Cd at its relaxed geometry, from Alexandria via LeMat-Bulk.

```
CeDy2Cd
1.0
3.523 0.000 0.000
1.761 3.051 0.000
1.761 1.017 10.884
Ce Dy Cd
1 2 1
Cartesian
3.523 2.034 5.446
1.761 1.017 8.343
1.761 1.017 2.536
3.523 2.034 0.002
```

Values from the calculation:
Its space group is No. 160. Its total magnetization is 1.25 μB/cell.

=====

Short version: B is the least stable of them.

=====

## A
The following is a PBE-GGA calculation of crystalline CeDyCd4 at its relaxed geometry, from Alexandria via LeMat-Bulk.

```
CeDyCd4
1.0
-2.603 0.043 2.069
0.460 -3.813 -4.688
4.003 -5.861 5.159
Ce Dy Cd
1 1 4
Cartesian
2.919 -7.724 3.855
2.449 -6.722 -2.102
-0.169 -4.772 -2.768
2.465 -8.630 0.631
2.873 -5.771 1.082
1.565 -3.860 -0.599
```

Values from the calculation:
Its space group is No. 47. Its total magnetization is 1.31 μB/cell.

=====

## B
The following is a PBE-GGA calculation of crystalline CeDyCd4 at its relaxed geometry, from Alexandria via LeMat-Bulk.

```
CeDyCd4
1.0
-2.028 -0.331 -5.573
2.887 -3.283 -4.021
-2.406 -5.053 -1.989
Cd Ce Dy
4 1 1
Cartesian
0.237 -2.889 -6.245
-2.412 -3.775 -5.228
-0.967 -5.418 -7.241
0.048 -5.252 -4.452
-0.387 -2.167 -2.896
0.000 0.000 0.000
```

Values from the calculation:
Its space group is No. 216. Its total magnetization is 0.99 μB/cell.

=====

Short version: B is the least stable of them.

=====

## A
The following is a PBE-GGA calculation of crystalline CeErCd2 at its relaxed geometry, from Alexandria via LeMat-Bulk.

```
CeErCd2
1.0
-3.380 -0.418 0.226
0.038 -1.858 -2.864
1.238 -7.401 4.819
Cd Ce Er
2 1 1
Cartesian
0.943 -5.639 3.671
0.295 -1.762 1.147
-1.052 -4.839 1.091
-1.671 -1.138 -1.319
```

Values from the calculation:
Its space group is No. 123. Its total magnetization is 0.95 μB/cell.

=====

## B
The following is a PBE-GGA calculation of crystalline CeErCd2 at its relaxed geometry, from Alexandria via LeMat-Bulk.

```
CeErCd2
1.0
3.418 0.000 0.000
1.709 2.960 0.000
1.709 0.987 10.594
Cd Ce Er
2 1 1
Cartesian
1.709 0.987 2.553
5.127 2.960 8.041
3.418 1.973 5.297
0.000 0.000 0.000
```

Values from the calculation:
Its space group is No. 166. Its total magnetization is 0.90 μB/cell.

=====

## C
The following is a PBE-GGA calculation of crystalline CeErCd2 at its relaxed geometry, from Alexandria via LeMat-Bulk.

```
CeErCd2
1.0
4.575 0.000 0.000
0.000 4.791 0.000
0.000 0.000 4.791
Cd Ce Er
2 1 1
Cartesian
0.000 0.000 2.396
0.000 2.396 0.000
2.288 0.000 0.000
2.288 2.396 2.396
```

Values from the calculation:
Its space group is No. 123. Its total magnetization is 1.26 μB/cell.

=====

## D
The following is a PBE-GGA calculation of crystalline CeErCd2 at its relaxed geometry, from Alexandria via LeMat-Bulk.

```
CeErCd2
1.0
-4.696 -2.054 -1.501
-1.318 -4.975 1.429
-3.841 -0.809 3.622
Cd Ce Er
2 1 1
Cartesian
-2.464 -1.959 0.888
-7.391 -5.878 2.663
-4.928 -3.919 1.775
0.000 0.000 0.000
```

Values from the calculation:
Its space group is No. 225. Its total magnetization is 1.70 μB/cell.

=====

Short version: B is the least stable of them.

=====

## A
The following is a PBE-GGA calculation of crystalline CeErCd4 at its relaxed geometry, from Alexandria via LeMat-Bulk.

```
CeErCd4
1.0
-2.583 5.451 0.487
-4.269 -2.583 3.424
-0.296 1.790 4.722
Ce Er Cd
1 1 4
Cartesian
-3.713 3.235 6.660
-4.408 -1.678 5.767
-5.485 1.271 4.585
-1.646 3.408 4.012
-2.209 0.732 4.990
-4.923 3.948 3.607
```

Values from the calculation:
Its space group is No. 71. Its total magnetization is 1.06 μB/cell.

=====

## B
The following is a PBE-GGA calculation of crystalline CeErCd4 at its relaxed geometry, from Alexandria via LeMat-Bulk.

```
CeErCd4
1.0
5.929 0.000 0.000
2.965 5.135 0.000
2.965 1.712 4.841
Cd Ce Er
4 1 1
Cartesian
5.929 3.423 0.604
5.929 1.710 3.026
7.413 4.280 3.026
4.446 4.280 3.026
2.965 1.712 1.210
0.000 0.000 0.000
```

Values from the calculation:
Its space group is No. 216. Its total magnetization is 0.99 μB/cell.

=====

## C
The following is a PBE-GGA calculation of crystalline CeErCd4 at its relaxed geometry, from Alexandria via LeMat-Bulk.

```
CeErCd4
1.0
3.350 0.000 0.012
0.000 5.035 0.000
-0.028 0.000 8.739
Ce Er Cd
1 1 4
Cartesian
1.675 0.000 0.006
1.661 2.518 4.375
-0.017 0.000 5.787
-0.022 2.518 7.238
3.339 0.000 2.963
3.344 2.518 1.513
```

Values from the calculation:
Its space group is No. 47. Its total magnetization is 1.28 μB/cell.

=====

Short version: B is the least stable of them.

=====

## A
The following is a PBE-GGA calculation of crystalline CeErCdRu at its relaxed geometry, from Alexandria via LeMat-Bulk.

```
CeErCdRu
1.0
-2.243 1.901 1.583
0.645 -1.614 2.851
5.949 5.532 1.786
Ce Er Cd Ru
1 1 1 1
Cartesian
3.820 4.439 3.603
1.354 2.146 2.863
0.473 0.440 0.142
3.372 3.136 1.012
```

Values from the calculation:
Its space group is No. 99. Its total magnetization is 0.00 μB/cell.

=====

## B
The following is a PBE-GGA calculation of crystalline CeErCdRu at its relaxed geometry, from Alexandria via LeMat-Bulk.

```
CeErCdRu
1.0
5.059 0.000 0.000
2.529 4.381 0.000
2.529 1.460 4.130
Ru Cd Ce Er
1 1 1 1
Cartesian
7.588 4.381 3.098
2.529 1.460 1.033
0.000 0.000 0.000
5.059 2.921 2.065
```

Values from the calculation:
Its space group is No. 216. Its total magnetization is 0.22 μB/cell.

=====

Short version: B is the least stable of them.

=====

## A
The following is a PBE-GGA calculation of crystalline CeErZnCd at its relaxed geometry, from Alexandria via LeMat-Bulk.

```
CeErZnCd
1.0
-2.164 1.170 -2.540
2.460 -0.731 -2.432
-2.970 -7.273 -0.819
Ce Er Zn Cd
1 1 1 1
Cartesian
-0.231 -0.709 -2.591
-1.593 -4.044 -2.966
-1.112 -2.723 -0.307
-2.494 -6.108 -0.688
```

Values from the calculation:
Its space group is No. 99. Its total magnetization is 1.09 μB/cell.

=====

## B
The following is a PBE-GGA calculation of crystalline CeErZnCd at its relaxed geometry, from Alexandria via LeMat-Bulk.

```
CeErZnCd
1.0
-3.108 3.176 -2.739
-1.127 -1.104 -4.976
-4.812 -1.545 -1.305
Zn Cd Ce Er
1 1 1 1
Cartesian
0.000 0.000 0.000
-4.523 0.263 -4.510
-6.784 0.395 -6.765
-2.261 0.132 -2.255
```

Values from the calculation:
Its space group is No. 216. Its total magnetization is 1.52 μB/cell.

=====

Short version: B is the least stable of them.

=====

## A
The following is a PBE-GGA calculation of crystalline CeEuCd at its relaxed geometry, from Alexandria via LeMat-Bulk.

```
CeEuCd
1.0
3.114 0.000 0.000
0.000 5.454 0.000
0.000 -2.727 4.723
Eu Ce Cd
1 1 1
Cartesian
1.556 0.000 3.149
1.559 2.727 1.574
0.000 0.000 0.000
```

Values from the calculation:
Its space group is No. 187. Its total magnetization is 6.39 μB/cell.

=====

## B
The following is a PBE-GGA calculation of crystalline CeEuCd at its relaxed geometry, from Alexandria via LeMat-Bulk.

```
CeEuCd
1.0
-2.355 2.546 -1.619
1.473 -0.822 -3.436
-4.045 -5.527 1.719
Eu Ce Cd
1 1 1
Cartesian
-0.131 -0.136 -0.024
-2.828 -2.941 -0.509
-1.968 -0.726 -2.802
```

Values from the calculation:
Its space group is No. 107. Its total magnetization is 9.32 μB/cell.

=====

Short version: A is the least stable of them.

=====

## A
The following is a PBE-GGA calculation of crystalline Ce2EuCd at its relaxed geometry, from Alexandria via LeMat-Bulk.

```
Ce2EuCd
1.0
3.260 0.000 0.000
1.630 2.824 0.000
1.630 0.941 12.251
Eu Ce Cd
1 2 1
Cartesian
0.000 0.000 0.000
4.890 2.824 3.299
1.630 0.941 8.952
3.260 1.882 6.125
```

Values from the calculation:
Its space group is No. 166. Its total magnetization is 6.26 μB/cell.

=====

## B
The following is a PBE-GGA calculation of crystalline Ce2EuCd at its relaxed geometry, from Alexandria via LeMat-Bulk.

```
Ce2EuCd
1.0
-0.599 -5.158 -0.218
0.517 0.141 -4.752
4.722 -0.569 0.497
Eu Ce Cd
1 2 1
Cartesian
-0.299 -2.579 -0.109
2.361 -0.284 0.248
0.259 0.071 -2.376
2.320 -2.793 -2.236
```

Values from the calculation:
Its space group is No. 123. Its total magnetization is 10.50 μB/cell.

=====

Short version: A is the least stable of them.

=====

## A
The following is a PBE-GGA calculation of crystalline CeEuCd2 at its relaxed geometry, from Alexandria via LeMat-Bulk.

```
CeEuCd2
1.0
-3.086 1.757 -1.483
-2.290 -2.130 2.243
0.418 5.515 5.664
Eu Ce Cd
1 1 2
Cartesian
-2.479 2.571 3.212
-2.688 -0.187 0.380
0.317 4.188 4.300
0.101 1.328 1.363
```

Values from the calculation:
Its space group is No. 123. Its total magnetization is 5.97 μB/cell.

=====

## B
The following is a PBE-GGA calculation of crystalline CeEuCd2 at its relaxed geometry, from Alexandria via LeMat-Bulk.

```
CeEuCd2
1.0
-3.679 1.581 3.758
-4.036 -3.410 1.496
0.035 -2.269 5.001
Eu Ce Cd
1 1 2
Cartesian
0.000 0.000 0.000
-3.840 -2.049 5.127
-5.760 -3.073 7.691
-1.920 -1.024 2.564
```

Values from the calculation:
Its space group is No. 225. Its total magnetization is 8.07 μB/cell.

=====

Short version: B is the least stable of them.

=====

## A
The following is a PBE-GGA calculation of crystalline Ce2CdF8 at its relaxed geometry, from Alexandria via LeMat-Bulk.

```
Ce2CdF8
1.0
-4.120 -0.586 1.122
3.295 -5.377 2.219
3.265 1.420 5.658
Ce Cd F
2 1 8
Cartesian
-0.303 -1.630 3.219
2.743 -2.913 5.781
0.000 0.000 0.000
-0.129 0.214 4.695
2.550 -0.632 6.392
-2.641 -1.344 2.634
5.081 -3.198 6.366
-0.110 -3.910 2.608
2.569 -4.757 4.305
2.075 -1.845 3.665
0.365 -2.697 5.334
```

Values from the calculation:
Its space group is No. 12. Its total magnetization is 2.00 μB/cell.

=====

## B
The following is a PBE-GGA calculation of crystalline Ce2CdF8 at its relaxed geometry, from Alexandria via LeMat-Bulk.

```
Ce2CdF8
1.0
3.749 0.000 -0.943
-0.272 5.528 -1.081
-0.071 -1.162 7.644
F Ce Cd
8 2 1
Cartesian
2.099 2.145 0.419
1.163 -0.536 4.624
0.704 1.268 2.800
-0.090 4.396 -0.358
2.702 3.097 2.820
2.244 4.901 0.996
1.308 2.221 5.201
3.496 -0.031 5.978
0.436 3.356 1.733
2.971 1.009 3.887
1.875 0.000 -0.471
```

Values from the calculation:
Its space group is No. 12. Its total magnetization is 2.00 μB/cell.

=====

Short version: A is the least stable of them.

=====

## A
The following is a PBE-GGA calculation of crystalline Ce8CdGa2 at its relaxed geometry, from Alexandria via LeMat-Bulk.

```
Ce8CdGa2
1.0
4.789 0.000 -1.454
-1.030 7.627 -3.392
-0.051 -0.890 8.443
Ga Ce Cd
2 8 1
Cartesian
0.207 4.969 0.682
3.500 1.769 2.915
2.273 6.370 -1.126
1.006 3.536 3.314
0.639 1.023 2.106
-0.348 2.579 -1.147
3.068 5.715 1.491
2.701 3.202 0.283
1.434 0.368 4.723
4.056 4.159 4.744
2.394 0.000 -0.727
```

Values from the calculation:
Its space group is No. 71. Its total magnetization is 4.77 μB/cell.

=====

## B
The following is a PBE-GGA calculation of crystalline Ce8CdGa2 at its relaxed geometry, from Alexandria via LeMat-Bulk.

```
Ce8CdGa2
1.0
-5.078 -1.217 -2.177
-4.212 -4.840 5.297
-4.693 3.073 5.610
Ce Cd Ga
8 1 2
Cartesian
-5.988 -0.838 -0.444
-9.596 -0.069 3.924
-3.432 -2.393 1.442
-7.990 -2.818 5.627
-5.993 -0.166 3.103
-5.859 -3.663 1.678
-4.387 -2.914 4.806
-7.995 -2.146 9.174
-2.539 -0.609 -1.089
-3.084 -0.343 3.768
-5.821 -1.423 7.139
```

Values from the calculation:
Its space group is No. 12. Its total magnetization is 4.83 μB/cell.

=====

Short version: B is the least stable of them.

=====

## A
The following is a PBE-GGA calculation of crystalline CeScCdGa at its relaxed geometry, from Alexandria via LeMat-Bulk.

```
CeScCdGa
1.0
-2.349 1.837 1.306
0.588 -1.321 2.917
5.618 6.043 1.604
Ce Sc Cd Ga
1 1 1 1
Cartesian
3.625 5.105 3.398
1.026 2.309 2.656
0.520 0.559 0.148
3.093 3.327 0.883
```

Values from the calculation:
Its space group is No. 99. Its total magnetization is 0.24 μB/cell.

=====

## B
The following is a PBE-GGA calculation of crystalline CeScCdGa at its relaxed geometry, from Alexandria via LeMat-Bulk.

```
CeScCdGa
1.0
5.097 0.000 0.000
2.549 4.414 0.000
2.549 1.471 4.162
Sc Ga Ce Cd
1 1 1 1
Cartesian
0.000 0.000 0.000
7.646 4.414 3.121
5.097 2.943 2.081
2.549 1.471 1.040
```

Values from the calculation:
Its space group is No. 216. Its total magnetization is 0.59 μB/cell.

=====

Short version: B is the least stable of them.